# Mn2NiGeO6 | Alexandria via LeMat-Bulk | GGA+U | relaxed
data_Mn2NiGeO6
_cell_length_a 5.0629
_cell_length_b 5.0857
_cell_length_c 5.3966
_cell_angle_alpha 64.62
_cell_angle_beta 62.62
_cell_angle_gamma 60.81
_space_group_name_H-M_alt 'P 1'
_space_group_IT_number 1
_space_group_name_Hall 'P 1'
loop_
_atom_site_label
_atom_site_type_symbol
_atom_site_fract_x
_atom_site_fract_y
_atom_site_fract_z
_atom_site_occupancy
Mn1 Mn 0.0000 0.0000 0.0000 1
Mn2 Mn 0.4975 0.4986 0.5113 1
Ni1 Ni 0.2050 0.2054 0.3928 1
Ge1 Ge 0.6919 0.7007 0.9097 1
O1 O 0.0736 0.7897 0.7180 1
O2 O 0.3141 0.6019 0.2114 1
O3 O 0.4084 0.0649 0.7291 1
O4 O 0.6150 0.9085 0.1840 1
O5 O 0.7824 0.4326 0.7048 1
O6 O 0.8937 0.3115 0.1939 1
# VASP energy: -6.663 eV per atom